Entry from Alexandria via LeMat-Bulk: a relaxed Ho4CdCu3 crystal (PBE).

```
Ho4CdCu3
1.0
-1.802 -2.832 -1.045
1.988 0.429 -4.591
7.574 -5.830 2.736
Cd Ho Cu
1 4 3
direct
0.500 0.500 0.000
0.000 0.500 0.735
0.000 0.000 0.500
0.000 0.000 0.000
0.000 0.500 0.265
0.500 0.000 0.752
0.500 0.000 0.248
0.500 0.500 0.500
```

Output
- formation enthalpy at 0 K (eV/atom) = -0.25
- SG = No. 47

***

Entry from Alexandria via LeMat-Bulk: a relaxed Sm4BiSbAs2 crystal (PBE).

```
Sm4BiSbAs2
1.0
4.342 0.000 0.000
0.000 7.612 -0.185
0.000 2.644 7.042
Sm As Bi Sb
4 2 1 1
direct
0.500 0.768 0.246
0.500 0.232 0.754
0.000 0.230 0.259
0.000 0.770 0.741
0.500 0.000 0.500
0.000 0.000 0.000
0.500 0.500 0.000
0.000 0.500 0.500
```

Output
- energy relative to the elements, uncorrected (eV/atom) = -1.27
- SG = No. 10

***

Entry from Alexandria via LeMat-Bulk: a relaxed Cs2U3PbO12 crystal (PBE).

```
Cs2U3PbO12
1.0
7.887 -0.054 -0.039
3.848 6.885 -0.039
3.848 2.240 6.510
O Pb Cs U
12 1 2 3
direct
0.690 0.690 0.068
0.672 0.067 0.067
0.310 0.310 0.932
0.933 0.933 0.328
0.310 0.932 0.310
0.068 0.690 0.690
0.933 0.328 0.933
0.690 0.068 0.690
0.067 0.672 0.067
0.328 0.933 0.933
0.932 0.310 0.310
0.067 0.067 0.672
0.000 0.000 0.000
0.378 0.378 0.378
0.622 0.622 0.622
0.000 0.000 0.500
0.500 0.000 0.000
0.000 0.500 0.000
```

Output
- energy relative to the elements, uncorrected (eV/atom) = -2.60
- SG = No. 166

***

Entry from Alexandria via LeMat-Bulk: a relaxed KMg5 crystal (PBE).

```
KMg5
1.0
-5.273 6.189 -6.486
2.605 -5.685 8.311
2.260 4.181 2.151
Mg K
5 1
direct
0.315 0.685 0.000
0.680 0.320 0.000
0.857 0.143 0.500
0.597 0.403 0.500
0.226 0.774 0.500
0.991 0.009 0.000
```

Output
- formation enthalpy at 0 K (eV/atom) = 0.14
- energy above the most stable polymorph in this dataset (kJ/mol of formula units) = 18.1
- SG = No. 38

***

Entry from Alexandria via LeMat-Bulk: a relaxed MgCoRhPb crystal (PBE).

```
MgCoRhPb
1.0
4.494 0.000 0.000
2.247 3.892 0.000
2.247 1.297 3.669
Mg Co Pb Rh
1 1 1 1
direct
0.750 0.750 0.750
0.500 0.500 0.500
0.250 0.250 0.250
0.000 0.000 0.000
```

Output
- formation enthalpy at 0 K (eV/atom) = -0.02
- SG = No. 216

***

Entry from Alexandria via LeMat-Bulk: a relaxed LuPuThAg crystal (PBE).

```
LuPuThAg
1.0
-0.318 5.200 0.745
-0.933 3.190 -4.080
-4.644 2.440 -0.424
Ag Pu Th Lu
1 1 1 1
direct
0.250 0.250 0.250
0.750 0.750 0.750
0.500 0.500 0.500
0.000 0.000 0.000
```

Output
- formation enthalpy at 0 K (eV/atom) = 0.14
- SG = No. 216

***

Entry from Alexandria via LeMat-Bulk: a relaxed RbPtSN2 crystal (PBE).

```
RbPtSN2
1.0
-3.980 0.184 -1.361
-0.179 -4.206 -0.047
-1.656 0.016 4.842
S Pt N Rb
1 1 2 1
direct
0.000 0.000 0.500
0.000 0.000 0.000
0.000 0.500 0.000
0.500 0.000 0.000
0.500 0.500 0.500
```

Output
- energy above the most stable polymorph in this dataset (kJ/mol of formula units) = 0.0
- energy relative to the elements, uncorrected (eV/atom) = 1.01
- SG = No. 123

***

Entry from Alexandria via LeMat-Bulk: a relaxed KZnMo2Se crystal (PBE).

```
KZnMo2Se
1.0
4.748 0.000 0.000
0.000 5.332 0.000
0.000 0.000 4.748
K Mo Se Zn
1 2 1 1
direct
0.500 0.500 0.500
0.500 0.000 0.000
0.000 0.000 0.500
0.000 0.000 0.000
0.000 0.500 0.000
```

Output
- energy relative to the elements, uncorrected (eV/atom) = 1.17
- SG = No. 123

***

| no. | density (g cm⁻³) |
| --- | --- |
| 1 | 9.1 |
| 2 | 7.7 |
| 3 | 6.4 |
| 4 | 1.5 |
| 5 | 10.2 |
| 6 | 12.2 |
| 7 | 6.2 |
| 8 | 5.2 |